Record 1
VASP calculation (PBE) on a relaxed structure of Dy3Y2Hg3.

It has space group Immm (No. 71), with a = 3.747 Å, b = 5.307 Å, c = 22.043 Å, α = 90.00°, β = 90.00° and γ = 90.00°. The inequivalent atoms are Dy at (0.000, 0.000, 0.000), Dy at (0.000, 0.500, 0.121), Y at (0.000, 0.000, 0.232), Hg at (0.000, 0.000, 0.500) and Hg at (0.000, 0.500, 0.382).

As for the energy: -3.81 eV/atom. The magnetic moment comes out at 0.00 μB per atom.

Record 2
VASP calculation (PBE) on a relaxed structure of DyY2Hg.

It has space group R-3m (No. 166, hexagonal axes), with a = 3.6191 Å, b = 3.6191 Å, c = 31.7152 Å, α = 90.00°, β = 90.00° and γ = 120.00°. The inequivalent atoms are Dy at (0.0000, 0.0000, 0.0000), Y at (0.0000, 0.0000, 0.2426) and Hg at (0.0000, 0.0000, 0.5000).

As for the energy: -4.63 eV/atom. The magnetic moment comes out at 0.00 μB per atom. For the relative energy among the computed polymorphs, the calculation gives 68 meV per atom.

Record 3
VASP calculation (PBE) on a relaxed structure of DyY5Hg4.

It has space group P4/mmm (No. 123), with a = 3.690 Å, b = 3.690 Å, c = 20.054 Å, α = 90.00°, β = 90.00° and γ = 90.00°. The inequivalent atoms are Dy at (0.000, 0.000, 0.000), Y at (0.500, 0.500, 0.122), Y at (0.500, 0.500, 0.312), Y at (0.500, 0.500, 0.500), Hg at (0.000, 0.000, 0.216) and Hg at (0.000, 0.000, 0.405).

As for the energy: -4.21 eV/atom. The magnetic moment comes out at 0.00 μB per atom.

Record 4
VASP calculation (PBE) on a relaxed structure of Dy4Y3Hg4.

It has space group I-43m (No. 217), with a = 8.952 Å, b = 8.952 Å, c = 8.952 Å, α = 90.00°, β = 90.00° and γ = 90.00°. The inequivalent atoms are Dy at (0.144, 0.144, 0.856), Y at (0.000, 0.000, 0.500) and Hg at (0.178, 0.178, 0.178).

As for the energy: -3.49 eV/atom. The magnetic moment comes out at 0.00 μB per atom.

Record 5
VASP calculation (PBE) on a relaxed structure of Dy2Y3Hg2.

It has space group C2/m (No. 12), with a = 9.295 Å, b = 5.359 Å, c = 8.513 Å, α = 90.00°, β = 111.26° and γ = 90.00°. The inequivalent atoms are Dy at (0.076, 0.000, 0.227), Y at (0.000, 0.500, 0.500), Y at (0.158, 0.500, 0.973) and Hg at (0.214, 0.000, 0.642).

As for the energy: -4.41 eV/atom. The magnetic moment comes out at 0.00 μB per atom.

Record 6
VASP calculation (PBE) on a relaxed structure of DyYHg6.

It has space group Amm2 (No. 38), with a = 5.014 Å, b = 6.722 Å, c = 11.417 Å, α = 90.00°, β = 90.00° and γ = 90.00°. The inequivalent atoms are Dy at (0.000, 0.000, 0.000), Y at (0.500, 0.000, 0.320), Hg at (0.000, 0.000, 0.491), Hg at (0.000, 0.243, 0.745), Hg at (0.500, 0.000, 0.830) and Hg at (0.500, 0.244, 0.574).

As for the energy: -1.96 eV/atom. The magnetic moment comes out at 0.00 μB per atom. For the relative energy among the computed polymorphs, the calculation gives 0 meV per atom.